The following is a PBE calculation of a relaxed ZrFeAg crystal, from Alexandria.

Unit cell a=5.1930 b=5.1930 c=3.3672 alpha=71.08 beta=71.08 gamma=37.83
Last column: magnetic moment on the atom in μB.
Element x y z (fractional)
Ag 0.9926 0.9925 0.0074  -0.02
Fe 0.3249 0.3249 0.6751  2.13
Zr 0.6825 0.6825 0.3175  -0.37

Total DFT energy (no corrections): -19.55 eV for the cell shown
SG: I4mm, No. 107
Energy of formation from the pure elements: 103 meV per atom
Density of states at the Fermi level: 1.1338 states/eV per atom

=====

The following is a PBE calculation of a relaxed ZrFeAg crystal, from Alexandria.

Unit cell a=4.6317 b=4.6317 c=2.8246 alpha=90.00 beta=90.00 gamma=120.00
Last column: magnetic moment on the atom in μB.
Element x y z (fractional)
Ag 0.0000 0.0000 0.1666  0.01
Fe 0.6667 0.3333 0.1665  2.58
Zr 0.3333 0.6667 0.6669  -0.20

Total DFT energy (no corrections): -19.20 eV for the cell shown
SG: P-6m2, No. 187
Energy of formation from the pure elements: 220 meV per atom
Density of states at the Fermi level: 1.5221 states/eV per atom

=====

The following is a PBE calculation of a relaxed ZrFeAg2 crystal, from Alexandria.

Unit cell a=3.7881 b=3.7881 c=10.5966 alpha=79.70 beta=79.70 gamma=90.00
Last column: magnetic moment on the atom in μB.
Element x y z (fractional)
Zr 0.0000 0.0000 0.0000  -0.46
Zr 0.7500 0.2500 0.5000  -0.46
Ag 0.6151 0.1250 0.2500  0.00
Ag 0.1349 0.6250 0.2500  0.00
Ag 0.3750 0.3849 0.7500  -0.02
Ag 0.8750 0.8651 0.7500  -0.02
Fe 0.5000 0.5000 0.0000  1.89
Fe 0.2500 0.7500 0.5000  1.89

Total DFT energy (no corrections): -42.10 eV for the cell shown
SG: I-42d, No. 122
Energy of formation from the pure elements: 416 meV per atom
Density of states at the Fermi level: 1.1909 states/eV per atom

=====

The following is a PBE calculation of a relaxed Zr2FeAg crystal, from Alexandria.

Unit cell a=5.3676 b=5.3676 c=5.3676 alpha=135.57 beta=135.57 gamma=64.64
Last column: magnetic moment on the atom in μB.
Element x y z (fractional)
Ag 0.5000 0.5000 0.0000  -0.01
Fe 0.7500 0.2500 0.5000  2.25
Zr 0.0000 0.0000 0.0000  -0.17
Zr 0.2500 0.7500 0.5000  -0.22

Total DFT energy (no corrections): -27.81 eV for the cell shown
SG: I-4m2, No. 119
Energy of formation from the pure elements: 150 meV per atom
Density of states at the Fermi level: 1.3278 states/eV per atom

=====

The following is a PBE calculation of a relaxed ZrFeAg2 crystal, from Alexandria.

Unit cell a=4.6036 b=4.6036 c=4.6036 alpha=60.00 beta=60.00 gamma=60.00
Element x y z (fractional)
Zr 0.5000 0.5000 0.5000
Ag 0.2500 0.2500 0.2500
Ag 0.7500 0.7500 0.7500
Fe 0.0000 0.0000 0.0000

Total DFT energy (no corrections): -20.84 eV for the cell shown
SG: Fm-3m, No. 225
Energy of formation from the pure elements: 469 meV per atom
Density of states at the Fermi level: 2.1572 states/eV per atom

=====

The following is a PBE calculation of a relaxed ZrFe2Ag crystal, from Alexandria.

Unit cell a=4.4696 b=4.4696 c=4.4696 alpha=60.00 beta=60.00 gamma=60.00
Last column: magnetic moment on the atom in μB.
Element x y z (fractional)
Zr 0.0000 0.0000 0.0000  -0.60
Ag 0.5000 0.5000 0.5000  0.01
Fe 0.2500 0.2500 0.2500  2.41
Fe 0.7500 0.7500 0.7500  2.41

Total DFT energy (no corrections): -27.43 eV for the cell shown
SG: Fm-3m, No. 225
Energy of formation from the pure elements: 223 meV per atom
Density of states at the Fermi level: 1.6241 states/eV per atom